No. 1
Entry from the Alexandria database: NdSm2Dy3 after structural relaxation (GGA-PBE).

a = 9.010 Å, b = 9.862 Å, c = 9.019 Å
α = 90.00°, β = 101.75°, γ = 90.00°
Space group C2/c (No. 15)
Asymmetric unit:
Nd: 0.000 0.085 0.250
Sm: 0.124 0.253 0.626
Dy: 0.000 0.419 0.250
Dy: 0.249 0.084 0.999

* total magnetic moment: 0.000 μB/f.u.
* E_form: 0.07 eV per atom
* energy above the most stable polymorph in this dataset: 0.00 kJ/mol of atoms

No. 2
Entry from the Alexandria database: Nd6Sm12Dy after structural relaxation (GGA-PBE).

a = 16.5821 Å, b = 16.5821 Å, c = 8.4314 Å
α = 90.00°, β = 90.00°, γ = 120.00°
Space group R-3m (No. 166, hexagonal axes)
Asymmetric unit:
Nd: 0.0856 0.1711 0.1457
Sm: 0.0000 0.3795 0.0000
Sm: 0.0939 0.5470 0.3117
Dy: 0.0000 0.0000 0.5000

* total magnetic moment: 0.000 μB/f.u.
* E_form: 0.31 eV per atom
* energy above the most stable polymorph in this dataset: 16.92 kJ/mol of atoms